Record 1
This record from the Alexandria database describes a geometry-optimized TlTcAs2 structure. The functional is GGA-PBE.

The space group is Pm (No. 6) and the conventional cell measures 3.351, 4.255 and 6.164 Å, with angles of 90.00, 105.63 and 90.00 degrees. The inequivalent atoms are Tl at (0.000, 0.000, 0.000), Tc at (0.388, 0.500, 0.776), As at (0.264, 0.000, 0.527) and As at (0.733, 0.500, 0.463).

The density comes out at 8.872 g/cm³. As for the volume: 21.2 Å³ per atom. The total energy comes out at -5.217 eV/atom.


Record 2
This record from the Alexandria database describes a geometry-optimized Li2RhBr structure. The functional is GGA-PBE.

The space group is I-4m2 (No. 119) and the conventional cell measures 3.680, 3.680 and 8.914 Å, with angles of 90.00, 90.00 and 90.00 degrees. The inequivalent atoms are Li at (0.000, 0.000, 0.000), Li at (0.000, 0.500, 0.250), Rh at (0.000, 0.500, 0.750) and Br at (0.000, 0.000, 0.500).

Its formation energy without anion corrections is -236 meV/atom. The density comes out at 5.412 g/cm³. As for the volume: 15.1 Å³ per atom. The total energy comes out at -3.449 eV/atom.


Record 3
This record from the Alexandria database describes a geometry-optimized KLiCr2Au structure. The functional is GGA-PBE.

The space group is P4/mmm (No. 123) and the conventional cell measures 5.118, 5.118 and 4.227 Å, with angles of 90.00, 90.00 and 90.00 degrees. The inequivalent atoms are K at (0.000, 0.000, 0.000), Li at (0.000, 0.000, 0.500), Cr at (0.000, 0.500, 0.000) and Au at (0.500, 0.500, 0.500).

The density comes out at 5.203 g/cm³. As for the volume: 22.1 Å³ per atom. The total energy comes out at -3.404 eV/atom.